# MgURu3

Crystalline MgURu3 at its relaxed geometry (GGA-PBE, the Alexandria database).

Cell lengths 5.7758, 5.7758, 6.3923 Å; angles 105.33, 105.33, 60.76 degrees
Closest atoms and distances in Å follow each position.
Element x y z (fractional)
1 Mg 0.0476 0.0476 0.2909  8 Ru 2.88-2.93, 1 Mg 3.10
2 Mg 0.9524 0.9524 0.7091  8 Ru 2.88-2.93, 1 Mg 3.10
3 U 0.3301 0.3301 0.0006  6 Ru 2.48-2.65
4 U 0.6699 0.6699 0.9994  6 Ru 2.48-2.65
5 Ru 0.0484 0.5518 0.3123  2 U 2.49-2.57
6 Ru 0.4482 0.9516 0.6877  2 U 2.49-2.57
7 Ru 0.4507 0.4507 0.6845  2 U 2.48-2.65
8 Ru 0.5493 0.5493 0.3155  2 U 2.48-2.65
9 Ru 0.5518 0.0484 0.3123  2 U 2.49-2.57
10 Ru 0.9516 0.4482 0.6877  2 U 2.49-2.57

Summary:
Energy relative to the elements, meV per atom: -203
Total DFT energy (no corrections), eV/atom: -8.345